Density functional theory data (PBE-GGA) for an optimized crystal structure of Sr2Pd3PbAu12.

a = 8.474 Å, b = 8.474 Å, c = 8.474 Å
α = 63.35°, β = 63.35°, γ = 63.35°
Atoms (fractional coordinates):
Sr 0.109 0.109 0.109
Sr 0.891 0.891 0.891
Pd 0.000 0.500 0.500
Pd 0.500 0.000 0.500
Pd 0.500 0.500 0.000
Pb 0.500 0.500 0.500
Au 0.109 0.639 0.639
Au 0.137 0.137 0.632
Au 0.137 0.632 0.137
Au 0.361 0.361 0.891
Au 0.361 0.891 0.361
Au 0.368 0.863 0.863
Au 0.632 0.137 0.137
Au 0.639 0.109 0.639
Au 0.639 0.639 0.109
Au 0.863 0.368 0.863
Au 0.863 0.863 0.368
Au 0.891 0.361 0.361

Results
density = 11.01 Mg/m³
N(E_F) = 0.168 states/eV/atom
energy of formation from the pure elements = 0.08 eV/atom
SG = R-3m
V = 25.674 Å³/atom

=====

Density functional theory data (PBE-GGA) for an optimized crystal structure of Sr2Pd6PbAu.

a = 7.208 Å, b = 7.208 Å, c = 7.208 Å
α = 60.00°, β = 60.00°, γ = 60.00°
Atoms (fractional coordinates):
Sr 0.250 0.250 0.250
Sr 0.750 0.750 0.750
Pd 0.249 0.249 0.751
Pd 0.249 0.751 0.249
Pd 0.249 0.751 0.751
Pd 0.751 0.249 0.249
Pd 0.751 0.249 0.751
Pd 0.751 0.751 0.249
Pb 0.000 0.000 0.000
Au 0.500 0.500 0.500

Results
density = 7.64 Mg/m³
N(E_F) = 0.752 states/eV/atom
energy of formation from the pure elements = 0.03 eV/atom
SG = Fm-3m
V = 26.481 Å³/atom

=====

Density functional theory data (PBE-GGA) for an optimized crystal structure of Sr2Pd5PbAu2.

a = 10.120 Å, b = 10.120 Å, c = 4.090 Å
α = 90.00°, β = 90.00°, γ = 90.00°
Atoms (fractional coordinates):
Sr 0.172 0.328 0.000
Sr 0.328 0.828 0.000
Sr 0.672 0.172 0.000
Sr 0.828 0.672 0.000
Pd 0.000 0.500 0.500
Pd 0.061 0.799 0.500
Pd 0.201 0.061 0.500
Pd 0.299 0.561 0.500
Pd 0.439 0.299 0.500
Pd 0.500 0.000 0.500
Pd 0.561 0.701 0.500
Pd 0.701 0.439 0.500
Pd 0.799 0.939 0.500
Pd 0.939 0.201 0.500
Pb 0.000 0.000 0.000
Pb 0.500 0.500 0.000
Au 0.126 0.626 0.000
Au 0.374 0.126 0.000
Au 0.626 0.874 0.000
Au 0.874 0.374 0.000

Results
density = 10.37 Mg/m³
N(E_F) = 0.486 states/eV/atom
energy of formation from the pure elements = -0.49 eV/atom
SG = P4/mbm
V = 20.944 Å³/atom

=====

Density functional theory data (PBE-GGA) for an optimized crystal structure of TbPdPbAu.

a = 4.988 Å, b = 4.988 Å, c = 4.988 Å
α = 60.00°, β = 60.00°, γ = 60.00°
Atoms (fractional coordinates):
Tb 0.000 0.000 0.000
Pd 0.750 0.750 0.750
Pb 0.500 0.500 0.500
Au 0.250 0.250 0.250

Results
density = 12.67 Mg/m³
N(E_F) = 0.594 states/eV/atom
energy of formation from the pure elements = -0.63 eV/atom
SG = F-43m
V = 21.943 Å³/atom

=====

Density functional theory data (PBE-GGA) for an optimized crystal structure of Te2Pd7Pb2Au.

a = 4.099 Å, b = 4.099 Å, c = 15.128 Å
α = 94.43°, β = 94.43°, γ = 89.86°
Atoms (fractional coordinates):
Te 0.069 0.069 0.241
Te 0.931 0.931 0.759
Pd 0.000 0.000 0.000
Pd 0.038 0.539 0.132
Pd 0.109 0.109 0.420
Pd 0.461 0.962 0.868
Pd 0.539 0.038 0.132
Pd 0.891 0.891 0.580
Pd 0.962 0.461 0.868
Pb 0.382 0.382 0.595
Pb 0.618 0.618 0.405
Au 0.500 0.500 0.000

Results
formation energy without anion corrections = -0.19 eV per atom
density = 10.59 Mg/m³
N(E_F) = 0.646 states/eV/atom
SG = C2/m
V = 21.057 Å³/atom

=====

Density functional theory data (PBE-GGA) for an optimized crystal structure of TePdPb2Au.

a = 5.507 Å, b = 5.507 Å, c = 5.118 Å
α = 90.00°, β = 90.00°, γ = 90.00°
Atoms (fractional coordinates):
Te 0.000 0.000 0.000
Pd 0.500 0.500 0.000
Pb 0.000 0.500 0.500
Pb 0.500 0.000 0.500
Au 0.500 0.500 0.500

Results
formation energy without anion corrections = 0.32 eV per atom
density = 9.04 Mg/m³
N(E_F) = 0.655 states/eV/atom
SG = P4/mmm
V = 31.041 Å³/atom

=====

Density functional theory data (PBE-GGA) for an optimized crystal structure of ThPdPbAu.

a = 5.080 Å, b = 5.080 Å, c = 5.080 Å
α = 60.00°, β = 60.00°, γ = 60.00°
Atoms (fractional coordinates):
Th 0.000 0.000 0.000
Pd 0.750 0.750 0.750
Pb 0.500 0.500 0.500
Au 0.250 0.250 0.250

Results
density = 13.30 Mg/m³
N(E_F) = 0.621 states/eV/atom
energy of formation from the pure elements = -0.58 eV/atom
SG = F-43m
V = 23.173 Å³/atom

=====

Density functional theory data (PBE-GGA) for an optimized crystal structure of TiPdPbAu.

a = 4.710 Å, b = 4.710 Å, c = 4.710 Å
α = 60.00°, β = 60.00°, γ = 60.00°
Atoms (fractional coordinates):
Ti 0.000 0.000 0.000
Pd 0.500 0.500 0.500
Pb 0.250 0.250 0.250
Au 0.750 0.750 0.750

Results
density = 12.55 Mg/m³
N(E_F) = 0.831 states/eV/atom
energy of formation from the pure elements = -0.18 eV/atom
SG = F-43m
V = 18.468 Å³/atom

=====

Density functional theory data (PBE-GGA) for an optimized crystal structure of YPdPbAu.

a = 4.985 Å, b = 4.985 Å, c = 4.985 Å
α = 60.00°, β = 60.00°, γ = 60.00°
Atoms (fractional coordinates):
Y 0.000 0.000 0.000
Pd 0.250 0.250 0.250
Pb 0.500 0.500 0.500
Au 0.750 0.750 0.750

Results
density = 11.36 Mg/m³
N(E_F) = 0.575 states/eV/atom
energy of formation from the pure elements = -0.63 eV/atom
SG = F-43m
V = 21.904 Å³/atom

=====

Density functional theory data (PBE-GGA) for an optimized crystal structure of ZnPdPbAu.

a = 4.762 Å, b = 4.762 Å, c = 4.762 Å
α = 60.00°, β = 60.00°, γ = 60.00°
Atoms (fractional coordinates):
Zn 0.000 0.000 0.000
Pd 0.250 0.250 0.250
Pb 0.500 0.500 0.500
Au 0.750 0.750 0.750

Results
density = 12.53 Mg/m³
N(E_F) = 0.293 states/eV/atom
energy of formation from the pure elements = -0.09 eV/atom
SG = F-43m
V = 19.089 Å³/atom

=====

Density functional theory data (PBE-GGA) for an optimized crystal structure of ZrPdPbAu.

a = 4.860 Å, b = 4.860 Å, c = 4.860 Å
α = 60.00°, β = 60.00°, γ = 60.00°
Atoms (fractional coordinates):
Zr 0.000 0.000 0.000
Pd 0.750 0.750 0.750
Pb 0.500 0.500 0.500
Au 0.250 0.250 0.250

Results
density = 12.31 Mg/m³
N(E_F) = 0.589 states/eV/atom
energy of formation from the pure elements = -0.34 eV/atom
SG = F-43m
V = 20.289 Å³/atom

=====

Density functional theory data (PBE-GGA) for an optimized crystal structure of Pm6Pb2Au.

a = 8.603 Å, b = 8.603 Å, c = 4.353 Å
α = 90.00°, β = 90.00°, γ = 120.00°
Atoms (fractional coordinates):
Pm 0.000 0.407 0.000
Pm 0.000 0.751 0.500
Pm 0.249 0.249 0.500
Pm 0.407 0.000 0.000
Pm 0.593 0.593 0.000
Pm 0.751 0.000 0.500
Pb 0.333 0.667 0.500
Pb 0.667 0.333 0.500
Au 0.000 0.000 0.000

Results
density = 8.82 Mg/m³
N(E_F) = 1.250 states/eV/atom
energy of formation from the pure elements = -0.46 eV/atom
SG = P-62m
V = 31.005 Å³/atom